## PmSm3Rh2 (PBE)

Data for a relaxed structure of PmSm3Rh2.

Unit cell a=4.866 b=8.843 c=7.262 alpha=90.00 beta=90.00 gamma=90.00
Positions (direct):
1 Pm 0.000 0.085 0.000
2 Pm 0.000 0.915 0.500
3 Sm 0.000 0.339 0.632
4 Sm 0.000 0.661 0.132
5 Sm 0.500 0.163 0.352
6 Sm 0.500 0.415 0.984
7 Sm 0.500 0.585 0.484
8 Sm 0.500 0.837 0.852
9 Rh 0.000 0.332 0.236
10 Rh 0.000 0.668 0.736
11 Rh 0.500 0.169 0.748
12 Rh 0.500 0.831 0.248

Magnetization, μB per cell: 0.0
Offset from the most stable computed form, meV per atom: 0
E, eV/atom: -6.171
ΔE_f, eV per atom: -0.569



## Pm3Sm2Rh4 (PBE)

Data for a relaxed structure of Pm3Sm2Rh4.

Unit cell a=8.794 b=8.794 c=8.103 alpha=90.00 beta=90.00 gamma=135.99
Positions (direct):
1 Pm 0.000 0.000 0.000
2 Pm 0.037 0.463 0.250
3 Pm 0.463 0.037 0.750
4 Pm 0.500 0.500 0.500
5 Pm 0.537 0.963 0.250
6 Pm 0.963 0.537 0.750
7 Sm 0.100 0.900 0.396
8 Sm 0.400 0.600 0.896
9 Sm 0.600 0.400 0.104
10 Sm 0.900 0.100 0.604
11 Rh 0.181 0.819 0.062
12 Rh 0.208 0.292 0.250
13 Rh 0.292 0.208 0.750
14 Rh 0.319 0.681 0.562
15 Rh 0.681 0.319 0.438
16 Rh 0.708 0.792 0.250
17 Rh 0.792 0.708 0.750
18 Rh 0.819 0.181 0.938

Magnetization, μB per cell: 0.0
E, eV/atom: -6.436
ΔE_f, eV per atom: -0.537



## PmSm2Rh (PBE)

Data for a relaxed structure of PmSm2Rh.

Unit cell a=3.915 b=3.915 c=27.965 alpha=90.00 beta=90.00 gamma=120.00
Positions (direct):
1 Pm 0.000 0.000 0.000
2 Pm 0.333 0.667 0.667
3 Pm 0.667 0.333 0.333
4 Sm 0.000 0.000 0.227
5 Sm 0.000 0.000 0.442
6 Sm 0.333 0.667 0.109
7 Sm 0.333 0.667 0.894
8 Sm 0.667 0.333 0.560
9 Sm 0.667 0.333 0.775
10 Rh 0.000 0.000 0.835
11 Rh 0.333 0.667 0.501
12 Rh 0.667 0.333 0.168

Magnetization, μB per cell: 0.0
Offset from the most stable computed form, meV per atom: 153
E, eV/atom: -5.686
ΔE_f, eV per atom: -0.301



## Pm3Sm2Rh2 (PBE)

Data for a relaxed structure of Pm3Sm2Rh2.

Unit cell a=12.342 b=3.882 c=9.116 alpha=90.00 beta=115.81 gamma=90.00
Positions (direct):
1 Pm 0.000 0.000 0.000
2 Pm 0.115 0.000 0.428
3 Pm 0.385 0.500 0.572
4 Pm 0.500 0.500 0.000
5 Pm 0.615 0.500 0.428
6 Pm 0.885 0.000 0.572
7 Sm 0.169 0.500 0.811
8 Sm 0.331 0.000 0.189
9 Sm 0.669 0.000 0.811
10 Sm 0.831 0.500 0.189
11 Rh 0.179 0.500 0.243
12 Rh 0.321 0.000 0.757
13 Rh 0.679 0.000 0.243
14 Rh 0.821 0.500 0.757

Magnetization, μB per cell: 0.0
E, eV/atom: -5.973
ΔE_f, eV per atom: -0.489



## PmSmRh (PBE)

Data for a relaxed structure of PmSmRh.

Unit cell a=3.537 b=3.537 c=12.994 alpha=90.00 beta=90.00 gamma=90.00
Positions (direct):
1 Pm 0.000 0.000 0.000
2 Pm 0.500 0.500 0.500
3 Sm 0.000 0.000 0.743
4 Sm 0.500 0.500 0.243
5 Rh 0.000 0.000 0.370
6 Rh 0.500 0.500 0.870

Magnetization, μB per cell: 0.0
Offset from the most stable computed form, meV per atom: 75
E, eV/atom: -6.057
ΔE_f, eV per atom: -0.450



## PmSmRh (PBE)

Data for a relaxed structure of PmSmRh.

Unit cell a=6.943 b=6.943 c=6.943 alpha=90.00 beta=90.00 gamma=90.00
Positions (direct):
1 Pm 0.000 0.000 0.000
2 Pm 0.000 0.500 0.500
3 Pm 0.500 0.000 0.500
4 Pm 0.500 0.500 0.000
5 Sm 0.000 0.000 0.500
6 Sm 0.000 0.500 0.000
7 Sm 0.500 0.000 0.000
8 Sm 0.500 0.500 0.500
9 Rh 0.250 0.250 0.250
10 Rh 0.250 0.750 0.750
11 Rh 0.750 0.250 0.750
12 Rh 0.750 0.750 0.250

Magnetization, μB per cell: 0.0
Offset from the most stable computed form, meV per atom: 42
E, eV/atom: -6.091
ΔE_f, eV per atom: -0.484



| no. | density of states at the Fermi level (states/eV/f.u.) |
| --- | --- |
| 1 | 5.4 |
| 2 | 4.9 |
| 3 | 5.5 |
| 4 | 7.2 |
| 5 | 3.3 |
| 6 | 3.1 |